<w>
BeAs: optimized geometry, PBE.

M_tot, μB per formula unit: 0.00

```
BeAs
1.0
5.690 0.000 0.000
0.000 6.913 0.000
0.000 0.000 7.333
Be As
8 8
Cartesian
0.617 0.570 1.459 Be
1.279 2.682 3.163 Be
1.566 4.230 6.829 Be
2.228 6.343 5.126 Be
3.462 2.887 5.874 Be
4.125 0.774 4.170 Be
4.411 6.139 0.504 Be
5.073 4.026 2.207 Be
0.753 0.658 3.989 As
0.920 2.759 0.985 As
1.925 4.154 4.651 As
2.092 6.255 0.322 As
3.599 2.798 3.344 As
3.765 0.697 6.348 As
4.771 6.215 2.682 As
4.937 4.114 7.010 As
```


<x>
BeAs: optimized geometry, PBE.

M_tot, μB per formula unit: 0.00

```
BeAs
1.0
3.725 0.000 0.000
-1.863 3.226 0.000
0.000 0.000 4.715
Be As
2 2
Cartesian
0.000 0.000 0.000 Be
0.000 0.000 2.357 Be
0.000 2.151 1.179 As
1.863 1.075 3.536 As
```


List of relative energies, unit eV/atom: <w> 0.000; <x> 0.021


<w>
BeAs: optimized geometry, PBE.

M_tot, μB per formula unit: 0.00

```
BeAs
1.0
1.440 0.832 9.836
-1.440 0.832 9.836
0.000 -1.663 9.836
Be As
2 2
Cartesian
0.000 0.000 3.981 Be
0.000 0.000 25.528 Be
0.000 0.000 12.102 As
0.000 0.000 17.407 As
```


<x>
BeAs: optimized geometry, PBE.

M_tot, μB per formula unit: 0.00

```
BeAs
1.0
6.201 -1.360 0.000
6.201 1.360 0.000
-3.058 0.000 5.859
Be As
3 3
Cartesian
0.000 0.000 0.000 Be
5.433 0.000 2.342 Be
8.457 0.000 0.030 Be
-1.807 0.000 4.017 As
1.263 0.000 1.975 As
4.303 0.000 0.393 As
```


List of relative energies, unit eV/atom: <w> 0.232; <x> 0.000


<w>
BeAs: optimized geometry, PBE.

M_tot, μB per formula unit: 0.00

```
BeAs
1.0
3.572 0.000 0.000
0.000 2.803 0.000
0.000 0.000 6.178
Be As
2 2
Cartesian
0.893 0.000 0.714 Be
2.679 0.000 5.464 Be
0.893 1.402 4.545 As
2.679 1.402 1.633 As
```


<x>
BeAs: optimized geometry, PBE.

M_tot, μB per formula unit: 0.00

```
BeAs
1.0
1.709 0.987 2.783
-1.709 0.987 2.783
0.000 -1.973 2.783
Be As
1 1
Cartesian
0.000 0.000 0.000 Be
0.000 0.000 4.174 As
```


List of relative energies, unit eV/atom: <w> 0.150; <x> 0.000


<w>
Be4As5: optimized geometry, PBE.

M_tot, μB per formula unit: 0.00

```
Be4As5
1.0
6.814 0.000 0.000
-3.407 5.901 0.000
0.000 0.000 6.883
Be As
8 10
Cartesian
0.000 0.000 0.000 Be
0.000 0.000 3.442 Be
-1.430 2.478 1.721 Be
-1.976 3.423 5.163 Be
2.861 0.000 1.721 Be
1.430 2.478 5.163 Be
3.953 0.000 5.163 Be
1.976 3.423 1.721 Be
-0.831 1.439 5.163 As
-2.576 4.461 1.721 As
1.662 0.000 5.163 As
0.831 1.439 1.721 As
0.000 3.934 0.000 As
0.000 3.934 3.442 As
3.407 1.967 0.000 As
3.407 1.967 3.442 As
5.152 0.000 1.721 As
2.576 4.461 5.163 As
```


<x>
Be4As5: optimized geometry, PBE.

M_tot, μB per formula unit: 0.00

```
Be4As5
1.0
-4.220 4.220 1.944
4.220 -4.220 1.944
4.220 4.220 -1.944
Be As
4 5
Cartesian
3.193 0.000 0.000 Be
5.247 0.000 0.000 Be
0.000 3.193 0.000 Be
0.000 5.247 0.000 Be
0.000 0.000 0.000 As
2.728 2.728 0.000 As
1.492 -1.492 1.944 As
-1.492 1.492 1.944 As
1.492 1.492 1.944 As
```


List of relative energies, unit eV/atom: <w> 0.000; <x> 0.111